Record 1
VASP calculation (PBE) on a relaxed Cs2ZrAs2S6 crystal.

a = 11.0861 Å, b = 7.0888 Å, c = 8.7146 Å
α = 90.00°, β = 107.52°, γ = 90.00°
Space group C2/m (No. 12)
Symmetry-distinct sites (fractional):
1 Cs 0.1926 0.0000 0.1168 (multiplicity 4)
2 Zr 0.0000 0.0000 0.5000 (multiplicity 2)
3 As 0.0989 0.5000 0.2488 (multiplicity 4)
4 S 0.0275 0.2491 0.7300 (multiplicity 8)
5 S 0.2369 0.0000 0.5280 (multiplicity 4)

Summary:
Formation energy (no corrections) ... -795 meV per atom
Energy ... -4.824 eV/atom

Record 2
VASP calculation (PBE) on a relaxed CsSbAs crystal.

a = 7.8006 Å, b = 5.3221 Å, c = 13.8319 Å
α = 90.00°, β = 106.70°, γ = 90.00°
Space group P2_1/c (No. 14)
Symmetry-distinct sites (fractional):
1 Cs 0.2437 0.2295 0.3923 (multiplicity 4)
2 Sb 0.2962 0.7267 0.1718 (multiplicity 4)
3 As 0.4262 0.2259 0.1668 (multiplicity 4)

Summary:
Formation energy (no corrections) ... -293 meV per atom
Density of states at the Fermi level ... 0.08 states/eV/atom
Energy ... -3.501 eV/atom

Record 3
VASP calculation (PBE) on a relaxed Cs3SbAs crystal.

a = 6.8744 Å, b = 6.8744 Å, c = 6.8744 Å
α = 90.00°, β = 90.00°, γ = 90.00°
Space group Pm-3m (No. 221)
Symmetry-distinct sites (fractional):
1 Cs 0.0000 0.0000 0.5000 (multiplicity 3)
2 Sb 0.5000 0.5000 0.5000 (multiplicity 1)
3 As 0.0000 0.0000 0.0000 (multiplicity 1)

Summary:
Formation energy (no corrections) ... 79 meV per atom
Density of states at the Fermi level ... 2.23 states/eV/atom
Energy ... -2.188 eV/atom

Record 4
VASP calculation (PBE) on a relaxed Cs6SbAs crystal.

a = 6.6451 Å, b = 9.9405 Å, c = 9.9556 Å
α = 70.64°, β = 70.56°, γ = 70.53°
Space group P-1 (No. 2)
Symmetry-distinct sites (fractional):
1 Cs 0.0470 0.1139 0.2915 (multiplicity 2)
2 Cs 0.2587 0.2399 0.7444 (multiplicity 2)
3 Cs 0.4525 0.3747 0.2202 (multiplicity 2)
4 Sb 0.0000 0.5000 0.0000 (multiplicity 1)
5 As 0.5000 0.0000 0.5000 (multiplicity 1)

Summary:
Formation energy (no corrections) ... -262 meV per atom
Density of states at the Fermi level ... 0.83 states/eV/atom
Energy ... -1.999 eV/atom

Record 5
VASP calculation (PBE) on a relaxed CsSb3As crystal.

a = 6.0685 Å, b = 6.0685 Å, c = 6.0685 Å
α = 90.00°, β = 90.00°, γ = 90.00°
Space group Pm-3m (No. 221)
Symmetry-distinct sites (fractional):
1 Cs 0.0000 0.0000 0.0000 (multiplicity 1)
2 Sb 0.0000 0.0000 0.5000 (multiplicity 3)
3 As 0.5000 0.5000 0.5000 (multiplicity 1)

Summary:
Formation energy (no corrections) ... 1863 meV per atom
Density of states at the Fermi level ... 1.67 states/eV/atom
Energy ... -1.711 eV/atom

Record 6
VASP calculation (PBE) on a relaxed CsSbAs crystal.

a = 3.8712 Å, b = 3.8712 Å, c = 13.4052 Å
α = 90.00°, β = 90.00°, γ = 90.00°
Space group I4mm (No. 107)
Symmetry-distinct sites (fractional):
1 Cs 0.0000 0.0000 0.0000 (multiplicity 2)
2 Sb 0.0000 0.0000 0.2822 (multiplicity 2)
3 As 0.0000 0.0000 0.7087 (multiplicity 2)

Summary:
Formation energy (no corrections) ... -262 meV per atom
Density of states at the Fermi level ... 0.26 states/eV/atom
Energy ... -3.470 eV/atom

Record 7
VASP calculation (PBE) on a relaxed CsSb2As2 crystal.

a = 7.2878 Å, b = 7.8689 Å, c = 8.1748 Å
α = 77.99°, β = 63.92°, γ = 62.43°
Space group P-1 (No. 2)
Symmetry-distinct sites (fractional):
1 Cs 0.1257 0.2494 0.2501 (multiplicity 2)
2 Sb 0.2332 0.0319 0.7497 (multiplicity 2)
3 Sb 0.4861 0.5310 0.2494 (multiplicity 2)
4 As 0.2446 0.7493 0.0084 (multiplicity 2)
5 As 0.4969 0.2488 0.5080 (multiplicity 2)

Summary:
Formation energy (no corrections) ... -94 meV per atom
Density of states at the Fermi level ... 0.55 states/eV/atom
Energy ... -3.774 eV/atom

Record 8
VASP calculation (PBE) on a relaxed Cs2SbAs2 crystal.

a = 7.6006 Å, b = 7.6006 Å, c = 5.9965 Å
α = 90.00°, β = 90.00°, γ = 90.00°
Space group P4/mbm (No. 127)
Symmetry-distinct sites (fractional):
1 Cs 0.1831 0.3169 0.0000 (multiplicity 4)
2 Sb 0.0000 0.0000 0.5000 (multiplicity 2)
3 As 0.1144 0.6144 0.5000 (multiplicity 4)

Summary:
Formation energy (no corrections) ... -276 meV per atom
Density of states at the Fermi level ... 1.09 states/eV/atom
Energy ... -3.301 eV/atom

Record 9
VASP calculation (PBE) on a relaxed CsSbAs crystal.

a = 3.9637 Å, b = 7.2525 Å, c = 8.5137 Å
α = 96.72°, β = 103.40°, γ = 90.03°
Space group P1 (No. 1)
Symmetry-distinct sites (fractional):
1 Cs 0.0000 0.0000 0.0000 (multiplicity 1)
2 Cs 0.2164 0.5827 0.4397 (multiplicity 1)
3 Sb 0.2995 0.1129 0.5979 (multiplicity 1)
4 Sb 0.5100 0.5093 0.0249 (multiplicity 1)
5 As 0.6944 0.0586 0.3871 (multiplicity 1)
6 As 0.9051 0.4599 0.8144 (multiplicity 1)

Summary:
Formation energy (no corrections) ... -283 meV per atom
Density of states at the Fermi level ... 0.53 states/eV/atom
Energy ... -3.492 eV/atom

Record 10
VASP calculation (PBE) on a relaxed Cs2SbAs2 crystal.

a = 3.7926 Å, b = 3.7926 Å, c = 24.6339 Å
α = 90.00°, β = 90.00°, γ = 90.00°
Space group I4/mmm (No. 139)
Symmetry-distinct sites (fractional):
1 Cs 0.0000 0.0000 0.1152 (multiplicity 4)
2 Sb 0.0000 0.0000 0.5000 (multiplicity 2)
3 As 0.0000 0.5000 0.2500 (multiplicity 4)

Summary:
Formation energy (no corrections) ... -143 meV per atom
Density of states at the Fermi level ... 0.51 states/eV/atom
Energy ... -3.168 eV/atom

Record 11
VASP calculation (PBE) on a relaxed Cs2Sb2As crystal.

a = 7.7907 Å, b = 7.7907 Å, c = 6.2527 Å
α = 90.00°, β = 90.00°, γ = 90.00°
Space group P4/mbm (No. 127)
Symmetry-distinct sites (fractional):
1 Cs 0.1797 0.3203 0.0000 (multiplicity 4)
2 Sb 0.1307 0.6307 0.5000 (multiplicity 4)
3 As 0.0000 0.0000 0.5000 (multiplicity 2)

Summary:
Formation energy (no corrections) ... -206 meV per atom
Density of states at the Fermi level ... 0.78 states/eV/atom
Energy ... -3.126 eV/atom

Record 12
VASP calculation (PBE) on a relaxed CsSb2As2 crystal.

a = 9.3292 Å, b = 9.3292 Å, c = 3.6797 Å
α = 90.00°, β = 90.00°, γ = 90.00°
Space group P4/mbm (No. 127)
Symmetry-distinct sites (fractional):
1 Cs 0.0000 0.0000 0.0000 (multiplicity 2)
2 Sb 0.1092 0.3908 0.5000 (multiplicity 4)
3 As 0.1409 0.6409 0.0000 (multiplicity 4)

Summary:
Formation energy (no corrections) ... 88 meV per atom
Density of states at the Fermi level ... 0.37 states/eV/atom
Energy ... -3.591 eV/atom

Record 13
VASP calculation (PBE) on a relaxed Cs2SbAs2 crystal.

a = 11.8832 Å, b = 6.0402 Å, c = 12.6109 Å
α = 90.00°, β = 115.76°, γ = 90.00°
Space group C2/m (No. 12)
Symmetry-distinct sites (fractional):
1 Cs 0.0746 0.0000 0.3798 (multiplicity 4)
2 Cs 0.1555 0.5000 0.1797 (multiplicity 4)
3 Sb 0.1807 0.5000 0.8888 (multiplicity 4)
4 As 0.0688 0.0000 0.9515 (multiplicity 4)
5 As 0.1318 0.5000 0.6728 (multiplicity 4)

Summary:
Formation energy (no corrections) ... -291 meV per atom
Density of states at the Fermi level ... 0.18 states/eV/atom
Energy ... -3.317 eV/atom

Record 14
VASP calculation (PBE) on a relaxed Cs3Sb5As2 crystal.

a = 11.7966 Å, b = 16.5338 Å, c = 7.7237 Å
α = 90.00°, β = 90.00°, γ = 90.00°
Space group Ibam (No. 72)
Symmetry-distinct sites (fractional):
1 Cs 0.0000 0.0000 0.2500 (multiplicity 4)
2 Cs 0.2402 0.3682 0.0000 (multiplicity 8)
3 Sb 0.0000 0.2376 0.2500 (multiplicity 8)
4 Sb 0.0000 0.5000 0.2500 (multiplicity 4)
5 Sb 0.1038 0.3686 0.5000 (multiplicity 8)
6 As 0.1409 0.1609 0.0000 (multiplicity 8)

Summary:
Formation energy (no corrections) ... -178 meV per atom
Density of states at the Fermi level ... 0.37 states/eV/atom
Energy ... -3.425 eV/atom

Record 15
VASP calculation (PBE) on a relaxed CsSb3As crystal.

a = 5.6251 Å, b = 5.6251 Å, c = 5.6251 Å
α = 90.00°, β = 90.00°, γ = 90.00°
Space group Pm-3m (No. 221)
Symmetry-distinct sites (fractional):
1 Cs 0.0000 0.0000 0.0000 (multiplicity 1)
2 Sb 0.0000 0.5000 0.5000 (multiplicity 3)
3 As 0.5000 0.5000 0.5000 (multiplicity 1)

Summary:
Formation energy (no corrections) ... 281 meV per atom
Density of states at the Fermi level ... 1.12 states/eV/atom
Energy ... -3.293 eV/atom

Record 16
VASP calculation (PBE) on a relaxed CsSbAs crystal.

a = 4.8554 Å, b = 4.8554 Å, c = 5.8863 Å
α = 90.00°, β = 90.00°, γ = 120.00°
Space group P-6m2 (No. 187)
Symmetry-distinct sites (fractional):
1 Cs 0.0000 0.0000 0.0000 (multiplicity 1)
2 Sb 0.3333 0.6667 0.5000 (multiplicity 1)
3 As 0.6667 0.3333 0.5000 (multiplicity 1)

Summary:
Formation energy (no corrections) ... -289 meV per atom
Density of states at the Fermi level ... 0.43 states/eV/atom
Energy ... -3.497 eV/atom

Record 17
VASP calculation (PBE) on a relaxed CsSb2As2 crystal.

a = 5.2489 Å, b = 5.2489 Å, c = 12.3830 Å
α = 90.00°, β = 90.00°, γ = 90.00°
Space group I4/mmm (No. 139)
Symmetry-distinct sites (fractional):
1 Cs 0.0000 0.0000 0.0000 (multiplicity 2)
2 Sb 0.0000 0.0000 0.3353 (multiplicity 4)
3 As 0.0000 0.5000 0.2500 (multiplicity 4)

Summary:
Formation energy (no corrections) ... -188 meV per atom
Density of states at the Fermi level ... 0.26 states/eV/atom
Energy ... -3.867 eV/atom

Record 18
VASP calculation (PBE) on a relaxed Cs2Sb2As crystal.

a = 12.6587 Å, b = 7.1684 Å, c = 9.5107 Å
α = 90.00°, β = 102.35°, γ = 90.00°
Space group C2/c (No. 15)
Symmetry-distinct sites (fractional):
1 Cs 0.1514 0.0966 0.1643 (multiplicity 8)
2 Sb 0.1021 0.4119 0.4884 (multiplicity 8)
3 As 0.0000 0.3860 0.7500 (multiplicity 4)

Summary:
Formation energy (no corrections) ... -298 meV per atom
Density of states at the Fermi level ... 0.74 states/eV/atom
Energy ... -3.218 eV/atom

Record 19
VASP calculation (PBE) on a relaxed Cs3SbAs crystal.

a = 11.0641 Å, b = 12.8974 Å, c = 6.9860 Å
α = 90.00°, β = 90.00°, γ = 90.00°
Space group Cmc2_1 (No. 36)
Symmetry-distinct sites (fractional):
1 Cs 0.0000 0.0993 0.0000 (multiplicity 4)
2 Cs 0.1831 0.3709 0.1796 (multiplicity 8)
3 Sb 0.0000 0.3479 0.6807 (multiplicity 4)
4 As 0.0000 0.1765 0.4828 (multiplicity 4)

Summary:
Formation energy (no corrections) ... -341 meV per atom
Density of states at the Fermi level ... 1.18 states/eV/atom
Energy ... -2.608 eV/atom

Record 20
VASP calculation (PBE) on a relaxed Cs3Sb2As crystal.

a = 9.0523 Å, b = 11.3110 Å, c = 11.9647 Å
α = 90.00°, β = 92.22°, γ = 90.00°
Space group P2_1/c (No. 14)
Symmetry-distinct sites (fractional):
1 Cs 0.1750 0.1575 0.1296 (multiplicity 4)
2 Cs 0.2355 0.5658 0.9394 (multiplicity 4)
3 Cs 0.3151 0.5506 0.3266 (multiplicity 4)
4 Sb 0.0681 0.7038 0.6434 (multiplicity 4)
5 Sb 0.4477 0.2218 0.3981 (multiplicity 4)
6 As 0.3411 0.6373 0.6415 (multiplicity 4)

Summary:
Formation energy (no corrections) ... -363 meV per atom
Density of states at the Fermi level ... 0.23 states/eV/atom
Energy ... -2.939 eV/atom